## w
Below is a geometry-optimized Sr2Li2Ru structure, with properties calculated at the PBE level.

abc: 7.1987 7.1987 4.9010
angles: 90.00 90.00 90.00
Closest atoms and distances in Å follow each position.
Space group P4/mbm (No. 127)
Symmetry-distinct sites (fractional):
Sr (0.1970, 0.3030, 0.0000)  2 Li 2.98
Li (0.1364, 0.6364, 0.5000)  1 Li 2.78, 2 Ru 2.80, 2 Sr 2.98
Ru (0.0000, 0.0000, 0.5000)  4 Li 2.80

Values from the calculation:
Fermi-level density of states, states/eV/f.u.: 1.68
Total moment, Bohr magnetons per cell: 0.019


## x
Below is a geometry-optimized Sr2Li2Ru structure, with properties calculated at the PBE level.

abc: 3.7118 3.7118 20.0835
angles: 90.00 90.00 90.00
Closest atoms and distances in Å follow each position.
Space group I4/mmm (No. 139)
Symmetry-distinct sites (fractional):
Sr (0.0000, 0.0000, 0.0877)  4 Ru 3.16, 1 Sr 3.52
Li (0.0000, 0.5000, 0.2500)  4 Li 2.62
Ru (0.0000, 0.0000, 0.5000)  8 Sr 3.16

Values from the calculation:
Fermi-level density of states, states/eV/f.u.: 4.79
Total moment, Bohr magnetons per cell: 0.000


Which one sits at the bottom of the stability order? w does.


## w
Below is a geometry-optimized LiTcRu structure, with properties calculated at the PBE level.

abc: 2.9971 2.9971 8.8580
angles: 90.00 90.00 90.00
Closest atoms and distances in Å follow each position.
Space group I4mm (No. 107)
Symmetry-distinct sites (fractional):
Li (0.0000, 0.0000, 0.0000)  4 Ru 2.58, 5 Tc 2.62-2.89
Tc (0.0000, 0.0000, 0.6743)  4 Ru 2.55, 4 Li 2.62
Ru (0.0000, 0.0000, 0.3339)  4 Tc 2.55, 4 Li 2.58

Values from the calculation:
Fermi-level density of states, states/eV/f.u.: 1.31
Total moment, Bohr magnetons per cell: 0.000


## x
Below is a geometry-optimized LiTcRu structure, with properties calculated at the PBE level.

abc: 4.2415 4.2415 2.6060
angles: 90.00 90.00 120.00
Closest atoms and distances in Å follow each position.
Space group P3m1 (No. 156)
Symmetry-distinct sites (fractional):
Li (0.0000, 0.0000, 0.0000)  2 Li 2.61, 3 Ru 2.62, 3 Tc 2.63
Tc (0.3333, 0.6667, 0.6331)  3 Ru 2.55, 2 Tc 2.61, 3 Li 2.63
Ru (0.6667, 0.3333, 0.3552)  3 Tc 2.55, 2 Ru 2.61, 3 Li 2.62

Values from the calculation:
Fermi-level density of states, states/eV/f.u.: 2.94
Total moment, Bohr magnetons per cell: 0.000


Which one sits at the bottom of the stability order? x does.


## w
Below is a geometry-optimized LiTcRu structure, with properties calculated at the PBE level.

abc: 2.8330 4.4777 13.6963
angles: 90.00 90.00 90.00
Closest atoms and distances in Å follow each position.
Space group Fmm2 (No. 42)
Symmetry-distinct sites (fractional):
Li (0.0000, 0.0000, 0.0000)  6 Li 2.65-2.83, 2 Ru 2.70, 2 Tc 2.78
Tc (0.0000, 0.0000, 0.6744)  2 Ru 2.58, 6 Tc 2.65-2.83, 2 Li 2.78
Ru (0.0000, 0.0000, 0.3322)  2 Tc 2.58, 6 Ru 2.65-2.83, 2 Li 2.70

Values from the calculation:
Fermi-level density of states, states/eV/f.u.: 3.48
Total moment, Bohr magnetons per cell: 0.567


## x
Below is a geometry-optimized LiTcRu structure, with properties calculated at the PBE level.

abc: 2.7383 4.4790 7.1236
angles: 90.00 90.00 90.00
Closest atoms and distances in Å follow each position.
Space group Pmmn (No. 59, origin choice 2)
Symmetry-distinct sites (fractional):
Li (0.2500, 0.2500, 0.0256)  6 Li 2.65-2.74, 2 Ru 2.73, 2 Tc 2.77
Tc (0.2500, 0.7500, 0.6359)  1 Ru 2.35
Ru (0.2500, 0.7500, 0.3066)  1 Tc 2.35

Values from the calculation:
Fermi-level density of states, states/eV/f.u.: 1.84
Total moment, Bohr magnetons per cell: 0.000


## y
Below is a geometry-optimized LiTcRu structure, with properties calculated at the PBE level.

abc: 2.6969 4.0050 7.4333
angles: 90.00 90.00 90.00
Closest atoms and distances in Å follow each position.
Space group Imm2 (No. 44)
Symmetry-distinct sites (fractional):
Li (0.0000, 0.0000, 0.0000)  5 Tc 2.48-2.71, 5 Ru 2.50-2.70, 2 Li 2.70
Tc (0.0000, 0.0000, 0.3331)  5 Ru 2.46-2.72, 5 Li 2.48-2.71, 2 Tc 2.70
Ru (0.0000, 0.0000, 0.6640)  5 Tc 2.46-2.72, 5 Li 2.50-2.70, 2 Ru 2.70

Values from the calculation:
Fermi-level density of states, states/eV/f.u.: 2.21
Total moment, Bohr magnetons per cell: 0.000


## z
Below is a geometry-optimized LiTcRu structure, with properties calculated at the PBE level.

abc: 5.7423 5.7423 5.7423
angles: 90.00 90.00 90.00
Closest atoms and distances in Å follow each position.
Space group F-43m (No. 216)
Symmetry-distinct sites (fractional):
Li (0.0000, 0.0000, 0.0000)  4 Ru 2.49
Tc (0.0000, 0.0000, 0.5000)  4 Ru 2.49
Ru (0.2500, 0.2500, 0.7500)  4 Li 2.49, 4 Tc 2.49

Values from the calculation:
Fermi-level density of states, states/eV/f.u.: 2.35
Total moment, Bohr magnetons per cell: 0.000


Which one sits at the bottom of the stability order? z does.